Entry 1:
YZnTe: relaxed, GGA-PBEsol.

Results
- energy relative to the elements, uncorrected (meV/atom) = -378.5
- SG = F-43m
- magnetic moment (μB/atom) = 0.000

a = 4.9306 Å, b = 4.9306 Å, c = 4.9306 Å
α = 60.00°, β = 60.00°, γ = 60.00°
Closest atoms and distances in Å follow each position.
Element x y z (fractional)
Y 0.0000 0.0000 0.0000  4 Te 3.02, 4 Zn 3.02
Zn 0.2500 0.2500 0.2500  4 Y 3.02
Te 0.7500 0.7500 0.7500  4 Y 3.02



Entry 2:
Y4ZrTe: relaxed, GGA-PBEsol.

Results
- energy relative to the elements, uncorrected (meV/atom) = 297.8
- SG = F-43m
- magnetic moment (μB/atom) = 0.124

a = 6.2129 Å, b = 6.2129 Å, c = 6.2129 Å
α = 60.00°, β = 60.00°, γ = 60.00°
Closest atoms and distances in Å follow each position.
Element x y z (fractional)
Y 0.3774 0.3774 0.3774  6 Y 3.05-3.17
Y 0.3774 0.3774 0.8678  6 Y 3.05-3.17
Y 0.3774 0.8678 0.3774  6 Y 3.05-3.17
Y 0.8678 0.3774 0.3774  6 Y 3.05-3.17
Zr 0.7500 0.7500 0.7500  12 Y 3.64, 4 Te 3.80
Te 0.0000 0.0000 0.0000  12 Y 3.65, 4 Zr 3.80



Entry 3:
Y2Zr2Te: relaxed, GGA-PBEsol.

Results
- energy relative to the elements, uncorrected (meV/atom) = -104.9
- SG = I4/mmm
- magnetic moment (μB/atom) = 0.071

a = 9.6812 Å, b = 9.6812 Å, c = 9.6812 Å
α = 157.00°, β = 157.00°, γ = 32.76°
Closest atoms and distances in Å follow each position.
Element x y z (fractional)
Y 0.0986 0.0986 0.0000  4 Te 3.29, 4 Zr 3.41, 1 Y 3.67
Y 0.9014 0.9014 0.0000  4 Te 3.29, 4 Zr 3.41, 1 Y 3.67
Zr 0.2500 0.7500 0.5000  4 Zr 2.73
Zr 0.7500 0.2500 0.5000  4 Zr 2.73
Te 0.5000 0.5000 0.0000  8 Y 3.29



Entry 4:
YZrTe2: relaxed, GGA-PBEsol.

Results
- energy relative to the elements, uncorrected (meV/atom) = -430.2
- SG = I-42d
- magnetic moment (μB/atom) = 0.104
- ΔE to the lowest computed polymorph (meV/atom) = 651

a = 8.2088 Å, b = 8.2088 Å, c = 8.2088 Å
α = 133.44°, β = 133.44°, γ = 67.97°
Closest atoms and distances in Å follow each position.
Element x y z (fractional)
Y 0.0000 0.0000 0.0000  4 Te 2.93
Y 0.7500 0.2500 0.5000  4 Te 2.93
Zr 0.2500 0.7500 0.5000  4 Te 2.79
Zr 0.5000 0.5000 0.0000  4 Te 2.79
Te 0.1446 0.6250 0.0196  2 Zr 2.79, 2 Y 2.93
Te 0.3750 0.3946 0.5196  2 Zr 2.79, 2 Y 2.93
Te 0.6054 0.1250 0.9804  2 Zr 2.79, 2 Y 2.93
Te 0.8750 0.8554 0.4804  2 Zr 2.79, 2 Y 2.93



Question: The highest magnetic moment belongs to which entry?
Answer: Y4ZrTe



Repeat the second record exactly.
Y4ZrTe: relaxed, GGA-PBEsol.

Results
- energy relative to the elements, uncorrected (meV/atom) = 297.8
- SG = F-43m
- magnetic moment (μB/atom) = 0.124

a = 6.2129 Å, b = 6.2129 Å, c = 6.2129 Å
α = 60.00°, β = 60.00°, γ = 60.00°
Closest atoms and distances in Å follow each position.
Element x y z (fractional)
Y 0.3774 0.3774 0.3774  6 Y 3.05-3.17
Y 0.3774 0.3774 0.8678  6 Y 3.05-3.17
Y 0.3774 0.8678 0.3774  6 Y 3.05-3.17
Y 0.8678 0.3774 0.3774  6 Y 3.05-3.17
Zr 0.7500 0.7500 0.7500  12 Y 3.64, 4 Te 3.80
Te 0.0000 0.0000 0.0000  12 Y 3.65, 4 Zr 3.80



Question: What is the energy relative to the elements, uncorrected in the third record?
Answer: -104.9 meV/atom



Question: What is the energy relative to the elements, uncorrected in the first record?
Answer: -378.5 meV/atom